1.
A relaxed structure of Tm8ZnSn2, computed with PBE-GGA.

Geometry as extended XYZ:
```
11
Lattice="-2.3982 -4.2957 -0.7135 5.6155 -3.3176 1.0992 -2.8047 2.9625 8.9094" Properties=species:S:1:pos:R:3 pbc="T T T"
Tm 4.2109 -2.5495 1.1963
Tm 0.3533 -3.9496 5.2729
Tm -2.7813 0.5606 5.9728
Tm -3.7982 -2.1013 8.0988
Tm 0.7027 -3.5560 1.7288
Tm -0.2901 -1.0948 7.5663
Tm 3.1940 -5.2114 3.3222
Tm 0.0594 -0.7012 4.0221
Zn -1.1991 -2.1478 -0.3568
Sn 2.7987 -2.2176 3.9444
Sn -2.3861 -2.4332 5.3506
```

2.
A relaxed structure of TmZn2Sn2, computed with PBE-GGA.

Geometry as extended XYZ:
```
10
Lattice="4.3483 0.0000 0.0000 0.0000 4.3583 0.0000 -2.1741 0.0000 11.2068" Properties=species:S:1:pos:R:3 pbc="T T T"
Zn 0.0000 3.2687 10.4726
Zn 2.1741 1.0896 0.7342
Zn 2.1741 1.0896 10.3587
Zn 0.0000 3.2687 0.8481
Sn 2.1741 3.2687 8.5111
Sn 0.0000 1.0896 2.6957
Sn 0.0000 3.2687 5.5903
Sn 2.1741 1.0896 5.6165
Tm 0.0000 1.0896 8.0652
Tm 2.1741 3.2687 3.1416
```

3.
A relaxed structure of Tm2ZnSn4, computed with PBE-GGA.

Geometry as extended XYZ:
```
7
Lattice="4.4171 0.0000 0.0000 0.0000 4.4171 0.0000 0.0000 0.0000 9.0178" Properties=species:S:1:pos:R:3 pbc="T T T"
Zn 2.2085 2.2085 0.0000
Tm 0.0000 2.2085 2.0462
Tm 2.2085 0.0000 6.9716
Sn 0.0000 2.2085 7.4272
Sn 0.0000 0.0000 4.5089
Sn 2.2085 0.0000 1.5905
Sn 2.2085 2.2085 4.5089
```

4.
A relaxed structure of Tm4ZnSn3, computed with PBE-GGA.

Geometry as extended XYZ:
```
8
Lattice="4.3645 0.0000 0.0000 0.0000 4.2468 0.0000 0.0000 0.0000 11.1744" Properties=species:S:1:pos:R:3 pbc="T T T"
Tm 0.0000 0.0000 1.4989
Tm 2.1822 2.1234 3.9625
Tm 0.0000 2.1234 9.7005
Tm 2.1822 0.0000 7.1272
Sn 2.1822 0.0000 10.2774
Sn 0.0000 0.0000 4.5401
Sn 0.0000 2.1234 6.6536
Zn 2.1822 2.1234 0.9375
```

5.
A relaxed structure of TmZrZnSn, computed with PBE-GGA.

Geometry as extended XYZ:
```
4
Lattice="5.0045 0.0000 0.0000 2.5022 4.3340 0.0000 2.5022 1.4447 4.0862" Properties=species:S:1:pos:R:3 pbc="T T T"
Sn 5.0045 2.8893 2.0431
Zr 7.5068 4.3340 3.0646
Zn 0.0000 0.0000 0.0000
Tm 2.5023 1.4447 1.0215
```

6.
A relaxed structure of Tm2Zr3Sn4, computed with PBE-GGA.

Geometry as extended XYZ:
```
18
Lattice="-1.1727 -5.4831 5.2041 -2.7785 -2.1840 -7.0215 6.9495 -3.1627 -1.7662" Properties=species:S:1:pos:R:3 pbc="T T T"
Tm 2.4061 -9.5884 -2.2788
Tm 0.5922 -1.2414 -1.3049
Tm 1.1392 -4.4987 1.0092
Tm 1.8591 -6.3311 -4.5928
Zr -1.9756 -3.8335 -0.9087
Zr 3.7201 -4.0414 -1.7012
Zr -1.1366 -3.5912 -4.2301
Zr 2.0855 -2.6733 -4.3939
Zr 4.1350 -7.2386 0.6464
Zr -0.7217 -6.7884 -1.8825
Sn 2.2297 -6.6679 -1.4342
Sn 0.7686 -4.1619 -2.1494
Sn 6.0878 -5.1418 -0.4792
Sn 4.3880 -4.6417 -4.4358
Sn 0.5185 -4.3216 -6.4745
Sn -3.0895 -5.6880 -3.1044
Sn 2.4798 -6.5082 2.8909
Sn -1.3897 -6.1880 0.8522
```

7.
A relaxed structure of TmZr3Sn2, computed with PBE-GGA.

Geometry as extended XYZ:
```
12
Lattice="4.2438 0.0000 0.0000 -2.1219 9.6155 -0.3885 0.0000 -4.6699 7.4483" Properties=species:S:1:pos:R:3 pbc="T T T"
Tm 2.1219 3.1880 6.3881
Tm 0.0000 1.7576 0.6717
Sn 2.1219 3.8705 1.4038
Sn 2.1219 -0.6269 1.2970
Sn 0.0000 1.0751 5.6560
Sn 0.0000 5.5725 5.7628
Zr 0.0000 3.5583 3.5911
Zr 2.1219 -1.0521 5.7159
Zr 0.0000 -0.9071 3.2727
Zr 2.1219 5.8526 3.7871
Zr 2.1219 1.3873 3.4687
Zr 0.0000 5.9977 1.3439
```

8.
A relaxed structure of Tm4ZrSn, computed with PBE-GGA.

Geometry as extended XYZ:
```
6
Lattice="5.0504 0.0001 -0.0014 -0.0001 5.0511 -0.0020 0.0037 0.0057 7.4822" Properties=species:S:1:pos:R:3 pbc="T T T"
Tm 2.5324 5.0376 1.9159
Tm 0.0099 2.5166 5.5343
Tm 2.5346 5.0428 5.5327
Tm 0.0069 2.5128 1.9182
Sn 2.5354 2.5176 7.4666
Zr 0.0083 5.0403 3.7250
```

9.
A relaxed structure of USn3, computed with PBE-GGA.

Geometry as extended XYZ:
```
4
Lattice="-0.3607 4.4638 -1.1546 -3.0973 -1.0925 -3.2561 -3.4155 0.5193 3.0747" Properties=species:S:1:pos:R:3 pbc="T T T"
Sn -1.8881 2.4915 0.9601
Sn -1.7290 1.6857 -2.2053
Sn -3.2564 -0.2866 -0.0907
U 0.0000 0.0000 0.0000
```

10.
A relaxed structure of USn3, computed with PBE-GGA.

Geometry as extended XYZ:
```
4
Lattice="-1.5611 -0.5441 2.7395 4.9144 -1.8702 2.4290 -0.5529 6.3075 -0.9309" Properties=species:S:1:pos:R:3 pbc="T T T"
Sn -1.1024 2.5568 1.7482
Sn 2.1588 2.0001 1.6274
Sn 1.7065 -1.2185 2.5990
U 0.0761 -0.0289 0.0376
```

11.
A relaxed structure of USn3, computed with PBE-GGA.

Geometry as extended XYZ:
```
4
Lattice="3.2158 0.0000 0.0000 0.0000 5.5398 0.0000 0.0000 0.0000 5.7618" Properties=species:S:1:pos:R:3 pbc="T T T"
Sn 1.6079 0.0000 2.8382
Sn 0.0000 2.7699 1.9276
Sn 1.6079 2.7699 4.8429
U 0.0000 0.0000 5.7554
```

12.
A relaxed structure of USn5, computed with PBE-GGA.

Geometry as extended XYZ:
```
6
Lattice="-3.3627 2.3167 1.8195 -2.9598 -3.5415 -0.9606 2.9690 -1.2706 7.1049" Properties=species:S:1:pos:R:3 pbc="T T T"
Sn -1.0195 -2.7110 1.5677
Sn 1.0287 -2.1011 4.5766
Sn -2.1817 -2.6130 4.7871
Sn -3.1612 -0.6124 0.4294
Sn -1.1718 0.1176 3.1767
U 0.0000 0.0000 0.0000
```

13.
A relaxed structure of USn7, computed with PBE-GGA.

Geometry as extended XYZ:
```
8
Lattice="-4.1391 -0.2050 5.2011 2.3541 -1.3473 6.0719 0.2220 4.7815 4.6167" Properties=species:S:1:pos:R:3 pbc="T T T"
Sn -2.0696 -0.1025 2.6005
Sn 0.1110 2.3907 2.3083
Sn -0.7815 1.6146 7.9448
Sn 1.2880 1.7171 5.3443
Sn -0.8925 -0.7762 5.6365
Sn 1.1771 -0.6736 3.0360
Sn -1.9586 2.2882 4.9089
U 0.0000 0.0000 0.0000
```

14.
A relaxed structure of U4Sn, computed with PBE-GGA.

Geometry as extended XYZ:
```
5
Lattice="-4.3112 2.0529 3.0816 -3.6988 -2.6062 -3.4386 0.1711 -4.6142 3.3132" Properties=species:S:1:pos:R:3 pbc="T T T"
U -2.0701 -1.2807 3.1974
U -1.7639 -3.6102 -0.0627
U 0.0000 0.0000 0.0000
U -4.0050 -0.2767 -0.1785
Sn -3.9195 -2.5838 1.4781
```

Energy relative to the lowest polymorph listed for this composition, eV per atom: 1.6281

15.
A relaxed structure of USn6, computed with PBE-GGA.

Geometry as extended XYZ:
```
7
Lattice="-6.7856 0.6413 -1.5560 2.2438 -6.3353 -1.9254 0.8969 0.7961 6.8876" Properties=species:S:1:pos:R:3 pbc="T T T"
Sn 0.4349 -4.1931 1.6108
Sn -1.4858 -4.2318 -0.5001
Sn -2.1592 -0.6661 3.9064
Sn -3.7431 -2.4876 -0.4078
Sn 0.0981 -2.4102 3.8140
Sn -4.0798 -0.7048 1.7955
U 0.0000 0.0000 0.0000
```

16.
A relaxed structure of U6Sn, computed with PBE-GGA.

Geometry as extended XYZ:
```
7
Lattice="6.1872 0.0000 0.0000 -2.0624 5.8333 0.0000 -2.0624 -2.9167 5.0518" Properties=species:S:1:pos:R:3 pbc="T T T"
U 1.0312 -0.7292 3.7888
U -1.0312 2.9167 2.5259
U 3.0936 0.0000 2.5259
U -1.0312 0.7292 3.7888
U 1.0312 3.6458 1.2629
U 3.0936 2.1875 1.2629
Sn 0.0000 0.0000 0.0000
```

17.
A relaxed structure of U4Sn, computed with PBE-GGA.

Geometry as extended XYZ:
```
5
Lattice="4.9129 0.0006 -1.2201 -0.3171 4.8890 -1.2746 -1.3003 -1.3351 5.2293" Properties=species:S:1:pos:R:3 pbc="T T T"
U 2.9527 0.5571 1.3814
U 0.3428 2.9974 1.3532
U 0.7014 0.7814 2.8148
U 2.5941 2.7731 -0.0801
Sn 0.0000 0.0000 0.0000
```

Energy relative to the lowest polymorph listed for this composition, eV per atom: 0.0000

18.
A relaxed structure of UVSn2, computed with PBE-GGA.

Geometry as extended XYZ:
```
4
Lattice="-3.0256 0.2116 -0.4667 -1.8984 -2.0322 1.2972 -2.5428 5.8289 9.0397" Properties=species:S:1:pos:R:3 pbc="T T T"
V -3.7334 2.0041 4.9351
U 0.0000 0.0000 0.0000
Sn -5.1879 0.0637 3.3962
Sn -2.2789 3.9446 6.4741
```

19.
A relaxed structure of YU2Sn9, computed with PBE-GGA.

Geometry as extended XYZ:
```
12
Lattice="-4.2665 1.6614 0.8104 -1.4127 -4.2452 1.2659 3.5981 2.7626 13.2799" Properties=species:S:1:pos:R:3 pbc="T T T"
Sn -0.4453 0.5464 9.8750
Sn 1.0927 -0.7413 7.2729
Sn -1.6358 -0.3676 5.4812
Sn -0.3342 2.2120 7.0452
Sn -0.0945 -1.6529 2.8911
Sn -2.8396 -1.2919 1.0381
Sn -1.5214 1.3004 2.6633
Sn 2.2800 0.1702 11.6548
Sn 0.8530 3.1236 11.4270
U 1.2128 0.9312 4.4761
U 2.3854 1.8315 8.8038
Y 0.0000 0.0000 0.0000
```

20.
A relaxed structure of YUSn2, computed with PBE-GGA.

Geometry as extended XYZ:
```
4
Lattice="-0.9675 -2.9750 1.2683 3.2020 -1.0672 -0.0606 1.2231 3.1917 8.4198" Properties=species:S:1:pos:R:3 pbc="T T T"
Sn 0.3072 0.8017 2.1148
Sn 0.9159 2.3901 6.3049
Y 1.7288 -0.4252 4.8137
U 1.1172 -2.0211 0.6039
```

21.
A relaxed structure of YUSn, computed with PBE-GGA.

Geometry as extended XYZ:
```
6
Lattice="5.3758 0.0000 0.0000 0.0000 3.3598 0.0000 -2.6879 -1.6799 9.1158" Properties=species:S:1:pos:R:3 pbc="T T T"
U 1.3660 1.6799 0.0000
U 4.0098 1.6799 0.0000
Y 0.0000 1.6799 6.0104
Y 2.6879 0.0000 3.1054
Sn 2.6879 0.0000 6.2521
Sn 0.0000 1.6799 2.8637
```

22.
A relaxed structure of UZn2Sn, computed with PBE-GGA.

Geometry as extended XYZ:
```
4
Lattice="4.3852 0.0000 0.0000 0.0000 4.4033 0.0000 0.0000 0.0000 4.4033" Properties=species:S:1:pos:R:3 pbc="T T T"
Sn 2.1926 0.0000 0.0000
U 2.1926 2.2017 2.2017
Zn 0.0000 2.2017 0.0000
Zn 0.0000 0.0000 2.2017
```

Energy relative to the lowest polymorph listed for this composition, eV per atom: 0.0000

23.
A relaxed structure of UZn4Sn, computed with PBE-GGA.

Geometry as extended XYZ:
```
6
Lattice="5.4696 0.0000 0.0000 2.7348 4.7368 0.0000 2.7348 1.5789 4.4659" Properties=species:S:1:pos:R:3 pbc="T T T"
Sn 0.0000 0.0000 0.0000
Zn 4.1064 3.9449 2.7895
Zn 6.8328 3.9449 2.7895
Zn 5.4696 3.1579 0.5634
Zn 5.4696 1.5838 2.7895
U 2.7348 1.5789 1.1165
```

24.
A relaxed structure of UZnSn2, computed with PBE-GGA.

Geometry as extended XYZ:
```
4
Lattice="-0.8232 1.9321 -4.2373 -0.2500 -2.7456 -3.8425 -5.3048 -0.8173 -1.9812" Properties=species:S:1:pos:R:3 pbc="T T T"
Sn -5.1258 -1.2609 -7.4965
Sn -1.2522 -0.3699 -2.5645
U -3.1890 -0.8154 -5.0305
Zn 0.0000 0.0000 0.0000
```

25.
A relaxed structure of UZn2Sn, computed with PBE-GGA.

Geometry as extended XYZ:
```
4
Lattice="4.8718 0.0000 0.0000 2.4359 4.2191 0.0000 2.4359 1.4064 3.9803" Properties=species:S:1:pos:R:3 pbc="T T T"
U 4.8718 2.8127 1.9901
Zn 7.3077 4.2191 2.9856
Zn 2.4359 1.4064 0.9947
Sn 0.0000 0.0000 0.0000
```

Energy relative to the lowest polymorph listed for this composition, eV per atom: 0.0960

26.
A relaxed structure of UZnSn2, computed with PBE-GGA.

Geometry as extended XYZ:
```
4
Lattice="4.4157 0.0000 0.0000 0.0000 4.5559 0.0000 0.0000 0.0000 4.5559" Properties=species:S:1:pos:R:3 pbc="T T T"
Sn 0.0000 0.0000 2.2780
Sn 0.0000 2.2780 0.0000
U 2.2079 0.0000 0.0000
Zn 2.2079 2.2780 2.2780
```

no.,energy of formation (meV/atom),D(E_F) (states/eV/f.u.)
1,-300,9.59
2,-317,1.85
3,-387,2.68
4,-580,6.62
5,-321,3.20
6,-642,6.90
7,-385,5.93
8,192,7.33
9,-133,8.02
10,-24,4.81
11,21,5.75
12,14,8.29
13,3,10.65
14,1840,36.28
15,678,8.05
16,1028,25.12
17,212,10.65
18,380,7.35
19,-227,17.81
20,-286,7.00
21,-51,4.85
22,39,6.80
23,143,7.90
24,207,7.71
25,135,8.58
26,-93,6.26